## Pr6Tm8Sc (GGA-PBE)

Data for an optimized crystal structure of Pr6Tm8Sc.

```
Pr6Tm8Sc
1.0
7.7964 0.1463 3.8068
2.4385 7.4067 3.8068
0.1982 0.1463 8.6739
Pr Tm Sc
6 8 1
Cartesian
8.2990 3.6462 11.8913
2.1111 0.8443 5.9278
4.7872 1.7683 3.7769
5.6459 5.9309 12.5107
8.3220 6.8550 10.3597
2.1342 4.0530 4.3963
2.7634 5.4132 9.6976
4.1273 6.6547 6.7939
3.0039 1.9818 9.7225
6.0183 4.4413 9.3955
4.4148 3.2579 6.8921
7.4292 5.7175 6.5651
6.3058 1.0445 9.4936
7.6697 2.2861 6.5899
0.0000 0.0000 0.0000
```

Summary:
Energy relative to the elements   0.1160 eV/atom
SG   R-3, No. 148

***

## TeMo2W (GGA-PBE)

Data for an optimized crystal structure of TeMo2W.

```
TeMo2W
1.0
-4.2880 -0.7446 -1.4758
-1.0666 -3.9709 -2.0526
-2.6735 -3.0546 2.1542
Mo Te W
2 1 1
Cartesian
0.0000 0.0000 0.0000
-2.0070 -1.9425 -0.3435
-4.0141 -3.8851 -0.6871
-6.0211 -5.8276 -1.0306
```

Summary:
SG   F-43m, No. 216

***

Number 1: DOS(E_F) 22.549 states/eV/cell, uncorrected energy -69.04 eV/f.u.. Number 2: DOS(E_F) 4.593 states/eV/cell, uncorrected energy -35.27 eV/f.u..